(1)
A relaxed Al2CuOs crystal, computed with GGA-PBE.

abc: 3.272 3.272 5.252
angles: 90.00 90.00 90.00
Positions (direct):
Al1 0.000 0.000 0.000
Al2 0.500 0.500 0.298
Cu1 0.000 0.000 0.506
Os1 0.500 0.500 0.799

Values from the calculation:
Its energy relative to the elements is -0.165 eV per atom. The calculation puts the total energy at -5.867 eV/atom.


(2)
A relaxed AlCu3Os crystal, computed with GGA-PBE.

abc: 4.278 4.278 4.278
angles: 90.00 90.00 90.00
Positions (direct):
Al1 0.000 0.000 0.000
Cu1 0.000 0.000 0.500
Cu2 0.000 0.500 0.000
Cu3 0.500 0.000 0.000
Os1 0.500 0.500 0.500

Values from the calculation:
Its energy relative to the elements is 1.306 eV per atom. The value obtained for the energy above the most stable polymorph in this dataset is 0.000 eV/atom. The calculation puts the total energy at -4.147 eV/atom.


(3)
A relaxed AlCu2Os crystal, computed with GGA-PBE.

abc: 2.650 3.758 5.321
angles: 90.00 90.00 90.00
Positions (direct):
Al1 0.000 0.000 0.000
Cu1 0.000 0.000 0.494
Cu2 0.500 0.500 0.270
Os1 0.500 0.500 0.766

Values from the calculation:
Its energy relative to the elements is -0.007 eV per atom. The calculation puts the total energy at -5.798 eV/atom.


(4)
A relaxed Al2CuOs crystal, computed with GGA-PBE.

abc: 2.735 2.735 8.570
angles: 90.00 90.00 115.25
Positions (direct):
Al1 0.000 0.000 0.000
Al2 0.500 0.500 0.269
Cu1 0.500 0.500 0.763
Os1 0.000 0.000 0.506

Values from the calculation:
Its energy relative to the elements is 0.163 eV per atom. The calculation puts the total energy at -5.539 eV/atom.


(5)
A relaxed AlCuOs crystal, computed with GGA-PBE.

abc: 4.916 4.916 4.916
angles: 144.34 144.34 51.32
Positions (direct):
Al1 0.000 0.000 0.000
Cu1 0.661 0.661 0.000
Os1 0.337 0.337 0.000

Values from the calculation:
Its energy relative to the elements is -0.003 eV per atom. The value obtained for the energy above the most stable polymorph in this dataset is 0.073 eV/atom. The calculation puts the total energy at -6.359 eV/atom.


(6)
A relaxed Al2CuOs crystal, computed with GGA-PBE.

abc: 8.576 8.576 8.576
angles: 18.82 18.82 18.82
Positions (direct):
Al1 0.000 0.000 0.000
Al2 0.243 0.243 0.243
Cu1 0.498 0.498 0.498
Os1 0.747 0.747 0.747

Values from the calculation:
Its energy relative to the elements is 0.001 eV per atom. The calculation puts the total energy at -5.702 eV/atom.


(7)
A relaxed AlCu2Os crystal, computed with GGA-PBE.

abc: 2.666 2.666 8.383
angles: 90.00 90.00 114.77
Positions (direct):
Al1 0.000 0.000 0.000
Cu1 0.000 0.000 0.488
Cu2 0.500 0.500 0.244
Os1 0.500 0.500 0.750

Values from the calculation:
Its energy relative to the elements is 0.119 eV per atom. The calculation puts the total energy at -5.672 eV/atom.


(8)
A relaxed AlCu2Os crystal, computed with GGA-PBE.

abc: 3.148 3.990 4.150
angles: 90.00 90.00 90.00
Positions (direct):
Al1 0.000 0.000 0.000
Cu1 0.000 0.500 0.500
Cu2 0.500 0.000 0.500
Os1 0.500 0.500 0.000

Values from the calculation:
Its energy relative to the elements is -0.080 eV per atom. The calculation puts the total energy at -5.871 eV/atom.


(9)
A relaxed Al2CuOs crystal, computed with GGA-PBE.

abc: 3.098 3.098 5.669
angles: 90.00 90.00 90.00
Positions (direct):
Al1 0.000 0.000 0.244
Al2 0.000 0.000 0.756
Cu1 0.500 0.500 0.500
Os1 0.500 0.500 0.000

Values from the calculation:
Its energy relative to the elements is -0.378 eV per atom. The calculation puts the total energy at -6.081 eV/atom.


(10)
A relaxed Al4CuOs crystal, computed with GGA-PBE.

abc: 4.977 4.977 4.977
angles: 60.00 60.00 60.00
Positions (direct):
Al1 0.125 0.125 0.125
Al2 0.125 0.125 0.626
Al3 0.125 0.626 0.125
Al4 0.626 0.125 0.125
Cu1 0.500 0.500 0.500
Os1 0.750 0.750 0.750

Values from the calculation:
Its energy relative to the elements is 0.154 eV per atom. The value obtained for the energy above the most stable polymorph in this dataset is 0.296 eV/atom. The calculation puts the total energy at -4.895 eV/atom.


(11)
A relaxed AlCu2Os crystal, computed with GGA-PBE.

abc: 4.464 4.464 4.464
angles: 128.81 128.81 75.31
Positions (direct):
Al1 0.000 0.000 0.000
Cu1 0.250 0.750 0.500
Cu2 0.500 0.500 0.000
Os1 0.750 0.250 0.500

Values from the calculation:
Its energy relative to the elements is 0.017 eV per atom. The calculation puts the total energy at -5.774 eV/atom.


(12)
A relaxed AlCu2Os crystal, computed with GGA-PBE.

abc: 9.531 9.531 9.531
angles: 158.65 158.65 30.37
Positions (direct):
Al1 0.000 0.000 0.000
Al2 0.750 0.250 0.500
Cu1 0.128 0.625 0.003
Cu2 0.375 0.378 0.503
Cu3 0.622 0.125 0.997
Cu4 0.875 0.872 0.497
Os1 0.250 0.750 0.500
Os2 0.500 0.500 0.000

Values from the calculation:
Its energy relative to the elements is 0.358 eV per atom. The calculation puts the total energy at -5.433 eV/atom.